Entry 1:
# PBE CePrNdSe3, relaxed
# **Formation energy from raw total energies**: -36.7 kcal/mol of atoms
data_CePrNdSe3
_cell_length_a 8.176
_cell_length_b 4.184
_cell_length_c 10.495
_cell_angle_alpha 90.00
_cell_angle_beta 102.68
_cell_angle_gamma 90.00
_space_group_name_H-M_alt 'P 1 21/m 1'
_space_group_IT_number 11
loop_
_space_group_symop_operation_xyz
'x,y,z'
'-x,-y,-z'
'-x,y+1/2,-z'
'x,-y+1/2,z'
loop_
_atom_site_label
_atom_site_type_symbol
_atom_site_fract_x
_atom_site_fract_y
_atom_site_fract_z
_atom_site_occupancy
Ce1 Ce 0.175 0.250 0.117 1
Pr1 Pr 0.184 0.250 0.707 1
Nd1 Nd 0.338 0.750 0.402 1
Se1 Se 0.084 0.250 0.389 1
Se2 Se 0.204 0.750 0.929 1
Se3 Se 0.464 0.750 0.696 1


Entry 2:
# PBE CePrNd4Se8, relaxed
# **Formation energy from raw total energies**: -39.6 kcal/mol of atoms
data_CePrNd4Se8
_cell_length_a 8.7195
_cell_length_b 8.7195
_cell_length_c 21.4101
_cell_angle_alpha 90.00
_cell_angle_beta 90.00
_cell_angle_gamma 120.00
_space_group_name_H-M_alt 'R 3 m'
_space_group_IT_number 160
_space_group_name_Hall 'R 3 -2"'
loop_
_atom_site_label
_atom_site_type_symbol
_atom_site_fract_x
_atom_site_fract_y
_atom_site_fract_z
_atom_site_occupancy
Ce1 Ce 0.0000 0.0000 0.0000 1
Pr1 Pr 0.0000 0.0000 0.6244 1
Nd1 Nd 0.0000 0.0000 0.3751 1
Nd2 Nd 0.1670 0.3341 0.8330 1
Se1 Se 0.0000 0.0000 0.2426 1
Se2 Se 0.0000 0.0000 0.7578 1
Se3 Se 0.0198 0.5099 0.7525 1
Se4 Se 0.1778 0.3555 0.5801 1


Entry 3:
# PBE Ce4PrNd3Se8, relaxed
# **Formation energy from raw total energies**: -42.3 kcal/mol of atoms
data_Ce4PrNd3Se8
_cell_length_a 8.4363
_cell_length_b 8.4363
_cell_length_c 20.7313
_cell_angle_alpha 90.00
_cell_angle_beta 90.00
_cell_angle_gamma 120.00
_space_group_name_H-M_alt 'R -3 m'
_space_group_IT_number 166
_space_group_name_Hall '-R 3 2"'
loop_
_atom_site_label
_atom_site_type_symbol
_atom_site_fract_x
_atom_site_fract_y
_atom_site_fract_z
_atom_site_occupancy
Ce1 Ce 0.0000 0.0000 0.0000 1
Ce2 Ce 0.0000 0.5000 0.0000 1
Pr1 Pr 0.0000 0.0000 0.5000 1
Nd1 Nd 0.0000 0.5000 0.5000 1
Se1 Se 0.0000 0.0000 0.2507 1
Se2 Se 0.0014 0.5007 0.7490 1


Entry 4:
# PBE Ce3PrNd2Se6, relaxed
# **Formation energy from raw total energies**: -42.4 kcal/mol of atoms
data_Ce3PrNd2Se6
_cell_length_a 7.303
_cell_length_b 12.658
_cell_length_c 7.338
_cell_angle_alpha 90.00
_cell_angle_beta 109.41
_cell_angle_gamma 90.00
_space_group_name_H-M_alt 'C 1 2/m 1'
_space_group_IT_number 12
loop_
_space_group_symop_operation_xyz
'x,y,z'
'-x,-y,-z'
'-x,y,-z'
'x,-y,z'
'x+1/2,y+1/2,z'
'-x+1/2,-y+1/2,-z'
'-x+1/2,y+1/2,-z'
'x+1/2,-y+1/2,z'
loop_
_atom_site_label
_atom_site_type_symbol
_atom_site_fract_x
_atom_site_fract_y
_atom_site_fract_z
_atom_site_occupancy
Ce1 Ce 0.000 0.000 0.000 1
Ce2 Ce 0.000 0.334 0.000 1
Pr1 Pr 0.000 0.500 0.500 1
Nd1 Nd 0.000 0.167 0.500 1
Se1 Se 0.248 0.167 0.247 1
Se2 Se 0.249 0.000 0.752 1


Entry 5:
# PBE Ce2PrNd3Se6, relaxed
# **Formation energy from raw total energies**: -42.4 kcal/mol of atoms
data_Ce2PrNd3Se6
_cell_length_a 7.308
_cell_length_b 12.670
_cell_length_c 7.340
_cell_angle_alpha 90.00
_cell_angle_beta 109.41
_cell_angle_gamma 90.00
_space_group_name_H-M_alt 'C 1 2/m 1'
_space_group_IT_number 12
loop_
_space_group_symop_operation_xyz
'x,y,z'
'-x,-y,-z'
'-x,y,-z'
'x,-y,z'
'x+1/2,y+1/2,z'
'-x+1/2,-y+1/2,-z'
'-x+1/2,y+1/2,-z'
'x+1/2,-y+1/2,z'
loop_
_atom_site_label
_atom_site_type_symbol
_atom_site_fract_x
_atom_site_fract_y
_atom_site_fract_z
_atom_site_occupancy
Ce1 Ce 0.000 0.167 0.000 1
Pr1 Pr 0.000 0.500 0.000 1
Nd1 Nd 0.000 0.000 0.500 1
Nd2 Nd 0.000 0.337 0.500 1
Se1 Se 0.245 0.000 0.247 1
Se2 Se 0.248 0.169 0.749 1


Entry 6:
# PBE Ce4Pr3NdSe8, relaxed
# **Formation energy from raw total energies**: -42.4 kcal/mol of atoms
data_Ce4Pr3NdSe8
_cell_length_a 8.4524
_cell_length_b 8.4524
_cell_length_c 20.7933
_cell_angle_alpha 90.00
_cell_angle_beta 90.00
_cell_angle_gamma 120.00
_space_group_name_H-M_alt 'R -3 m'
_space_group_IT_number 166
_space_group_name_Hall '-R 3 2"'
loop_
_atom_site_label
_atom_site_type_symbol
_atom_site_fract_x
_atom_site_fract_y
_atom_site_fract_z
_atom_site_occupancy
Ce1 Ce 0.0000 0.0000 0.0000 1
Ce2 Ce 0.0000 0.5000 0.0000 1
Pr1 Pr 0.0000 0.5000 0.5000 1
Nd1 Nd 0.0000 0.0000 0.5000 1
Se1 Se 0.0000 0.0000 0.2516 1
Se2 Se 0.0013 0.5007 0.2513 1


Entry 7:
# PBE CePr2NdSe4, relaxed
# **Formation energy from raw total energies**: -42.5 kcal/mol of atoms
data_CePr2NdSe4
_cell_length_a 7.360
_cell_length_b 4.217
_cell_length_c 7.360
_cell_angle_alpha 90.00
_cell_angle_beta 109.16
_cell_angle_gamma 90.00
_space_group_name_H-M_alt 'P 1 2/m 1'
_space_group_IT_number 10
loop_
_space_group_symop_operation_xyz
'x,y,z'
'-x,-y,-z'
'-x,y,-z'
'x,-y,z'
loop_
_atom_site_label
_atom_site_type_symbol
_atom_site_fract_x
_atom_site_fract_y
_atom_site_fract_z
_atom_site_occupancy
Ce1 Ce 0.000 0.000 0.000 1
Pr1 Pr 0.000 0.500 0.500 1
Pr2 Pr 0.500 0.000 0.500 1
Nd1 Nd 0.500 0.500 0.000 1
Se1 Se 0.247 0.500 0.245 1
Se2 Se 0.250 0.000 0.754 1


Entry 8:
# PBE Ce3Pr2NdSe6, relaxed
# **Formation energy from raw total energies**: -42.4 kcal/mol of atoms
data_Ce3Pr2NdSe6
_cell_length_a 7.313
_cell_length_b 12.675
_cell_length_c 7.347
_cell_angle_alpha 90.00
_cell_angle_beta 109.41
_cell_angle_gamma 90.00
_space_group_name_H-M_alt 'C 1 2/m 1'
_space_group_IT_number 12
loop_
_space_group_symop_operation_xyz
'x,y,z'
'-x,-y,-z'
'-x,y,-z'
'x,-y,z'
'x+1/2,y+1/2,z'
'-x+1/2,-y+1/2,-z'
'-x+1/2,y+1/2,-z'
'x+1/2,-y+1/2,z'
loop_
_atom_site_label
_atom_site_type_symbol
_atom_site_fract_x
_atom_site_fract_y
_atom_site_fract_z
_atom_site_occupancy
Ce1 Ce 0.000 0.000 0.000 1
Ce2 Ce 0.000 0.333 0.000 1
Pr1 Pr 0.000 0.167 0.500 1
Nd1 Nd 0.000 0.500 0.500 1
Se1 Se 0.247 0.500 0.246 1
Se2 Se 0.250 0.166 0.246 1


Entry 9:
# PBE CePrNdSm, relaxed
# **Energy of formation**: 0.203 eV/atom
data_CePrNdSm
_cell_length_a 8.206
_cell_length_b 8.206
_cell_length_c 8.206
_cell_angle_alpha 90.00
_cell_angle_beta 90.00
_cell_angle_gamma 90.00
_space_group_name_H-M_alt 'F -4 3 m'
_space_group_IT_number 216
_space_group_name_Hall 'F -4 2 3'
loop_
_atom_site_label
_atom_site_type_symbol
_atom_site_fract_x
_atom_site_fract_y
_atom_site_fract_z
_atom_site_occupancy
Ce1 Ce 0.000 0.000 0.000 1
Pr1 Pr 0.250 0.250 0.250 1
Nd1 Nd 0.250 0.250 0.750 1
Sm1 Sm 0.000 0.000 0.500 1


Entry 10:
# PBE CePrNd6Sm2, relaxed
# **Energy of formation**: 0.229 eV/atom
data_CePrNd6Sm2
_cell_length_a 11.483
_cell_length_b 6.992
_cell_length_c 9.031
_cell_angle_alpha 90.00
_cell_angle_beta 104.01
_cell_angle_gamma 90.00
_space_group_name_H-M_alt 'C 1 2/m 1'
_space_group_IT_number 12
loop_
_space_group_symop_operation_xyz
'x,y,z'
'-x,-y,-z'
'-x,y,-z'
'x,-y,z'
'x+1/2,y+1/2,z'
'-x+1/2,-y+1/2,-z'
'-x+1/2,y+1/2,-z'
'x+1/2,-y+1/2,z'
loop_
_atom_site_label
_atom_site_type_symbol
_atom_site_fract_x
_atom_site_fract_y
_atom_site_fract_z
_atom_site_occupancy
Ce1 Ce 0.000 0.000 0.000 1
Pr1 Pr 0.000 0.500 0.500 1
Nd1 Nd 0.125 0.000 0.414 1
Nd2 Nd 0.175 0.262 0.801 1
Sm1 Sm 0.089 0.500 0.160 1


Entry 11:
# PBE CePrNdSn, relaxed
# **Energy of formation**: -0.215 eV/atom
data_CePrNdSn
_cell_length_a 7.821
_cell_length_b 7.821
_cell_length_c 7.821
_cell_angle_alpha 90.00
_cell_angle_beta 90.00
_cell_angle_gamma 90.00
_space_group_name_H-M_alt 'F -4 3 m'
_space_group_IT_number 216
_space_group_name_Hall 'F -4 2 3'
loop_
_atom_site_label
_atom_site_type_symbol
_atom_site_fract_x
_atom_site_fract_y
_atom_site_fract_z
_atom_site_occupancy
Ce1 Ce 0.000 0.000 0.000 1
Pr1 Pr 0.250 0.250 0.250 1
Nd1 Nd 0.250 0.250 0.750 1
Sn1 Sn 0.000 0.000 0.500 1


Entry 12:
# PBE Tb6Ce2PrNd3, relaxed
# **Energy of formation**: 0.047 eV/atom
data_Tb6Ce2PrNd3
_cell_length_a 6.237
_cell_length_b 10.808
_cell_length_c 11.847
_cell_angle_alpha 90.00
_cell_angle_beta 100.12
_cell_angle_gamma 90.00
_space_group_name_H-M_alt 'C 1 2/m 1'
_space_group_IT_number 12
loop_
_space_group_symop_operation_xyz
'x,y,z'
'-x,-y,-z'
'-x,y,-z'
'x,-y,z'
'x+1/2,y+1/2,z'
'-x+1/2,-y+1/2,-z'
'-x+1/2,y+1/2,-z'
'x+1/2,-y+1/2,z'
loop_
_atom_site_label
_atom_site_type_symbol
_atom_site_fract_x
_atom_site_fract_y
_atom_site_fract_z
_atom_site_occupancy
Tb1 Tb 0.246 0.000 0.247 1
Tb2 Tb 0.249 0.168 0.753 1
Ce1 Ce 0.000 0.167 0.000 1
Pr1 Pr 0.000 0.500 0.000 1
Nd1 Nd 0.000 0.000 0.500 1
Nd2 Nd 0.000 0.334 0.500 1


Q: Which formula does entry 9 have?
A: CePrNdSm